First-principles (PBE+U) data for a relaxed DyPuCoO6 crystal, as listed in the Alexandria database.

abc: 5.631 5.631 8.729
angles: 90.00 90.00 120.00
Positions (direct):
Dy  0.333  0.667  0.250
Dy  0.667  0.333  0.750
Pu  0.333  0.667  0.750
Pu  0.667  0.333  0.250
Co  0.000  0.000  0.000
Co  0.000  0.000  0.500
O  0.034  0.357  0.627
O  0.034  0.678  0.873
O  0.322  0.357  0.873
O  0.322  0.966  0.627
O  0.357  0.034  0.127
O  0.357  0.322  0.373
O  0.643  0.678  0.627
O  0.643  0.966  0.873
O  0.678  0.034  0.373
O  0.678  0.643  0.127
O  0.966  0.322  0.127
O  0.966  0.643  0.373

Summary:
Electronic total energy in Ry per atom: -0.6041
Size of the total moment in μB/f.u.: 4.0